Record 1
## Nd2YZn (PBE)

Data for a geometry-optimized Nd2YZn structure.

Calculated values
Volume, Å³/atom: 30.9

a = 3.6839 Å, b = 3.6839 Å, c = 31.5368 Å
α = 90.00°, β = 90.00°, γ = 120.00°
Space group R3m (No. 160, hexagonal axes)
Symmetry-distinct sites (fractional):
1 Nd 0.0000 0.0000 0.0000 x3
2 Nd 0.0000 0.0000 0.1875 x3
3 Y 0.0000 0.0000 0.4269 x3
4 Zn 0.0000 0.0000 0.5935 x3

---

Record 2
## Nd4YZn5 (PBE)

Data for a geometry-optimized Nd4YZn5 structure.

Calculated values
Volume, Å³/atom: 24.6

a = 3.660 Å, b = 3.660 Å, c = 18.378 Å
α = 90.00°, β = 90.00°, γ = 90.00°
Space group P4/mmm (No. 123)
Symmetry-distinct sites (fractional):
1 Nd 0.000 0.000 0.102 x2
2 Nd 0.000 0.000 0.304 x2
3 Y 0.000 0.000 0.500 x1
4 Zn 0.500 0.500 0.000 x1
5 Zn 0.500 0.500 0.202 x2
6 Zn 0.500 0.500 0.407 x2

---

| no. | formation energy from the elements (kcal/mol of atoms) |
| --- | --- |
| 1 | -0.54 |
| 2 | -7.24 |